# 1
KLiInO2 | GGA-PBE | optimized geometry

Summary:
crystal system = orthorhombic

abc: 5.0831 6.3419 7.0964
angles: 116.54 90.00 90.00
Last column: nearest neighbours and their distance in Å.
Sites, in units of the cell vectors:
O 0.7103 0.5891 0.1782  1 Li 1.86
O 0.7103 0.9109 0.8218  1 Li 1.86
O 0.2897 0.0891 0.1782  1 Li 1.86
O 0.2897 0.4109 0.8218  1 Li 1.86
K 0.2703 0.7500 0.5000  2 O 3.03
K 0.7297 0.2500 0.5000  2 O 3.03
Li 0.0000 0.5000 0.0000  2 O 1.86
Li 0.0000 0.0000 0.0000  2 O 1.86
In 0.5000 0.7500 0.0000  4 O 2.22
In 0.5000 0.2500 0.0000  4 O 2.22

# 2
KLiInPb2 | GGA-PBE | optimized geometry

Summary:
crystal system = orthorhombic
energy relative to the lowest polymorph listed for this composition = 0 meV/atom

abc: 7.1428 5.8427 7.5386
angles: 90.00 90.00 90.00
Last column: nearest neighbours and their distance in Å.
Sites, in units of the cell vectors:
In 0.6645 0.7500 0.0000  2 Li 2.81, 2 Pb 3.09
In 0.3355 0.2500 0.0000  2 Li 2.81, 2 Pb 3.09
Pb 0.7042 0.2500 0.2141  2 Li 3.03, 3 In 3.09-3.35, 1 Pb 3.23
Pb 0.2958 0.7500 0.7859  2 Li 3.03, 3 In 3.09-3.35, 1 Pb 3.23
Pb 0.7042 0.2500 0.7859  2 Li 3.03, 3 In 3.09-3.35, 1 Pb 3.23
Pb 0.2958 0.7500 0.2141  2 Li 3.03, 3 In 3.09-3.35, 1 Pb 3.23
K 0.7739 0.7500 0.5000  6 Pb 3.66-4.04, 2 In 3.85
K 0.2261 0.2500 0.5000  6 Pb 3.66-4.04, 2 In 3.85
Li 0.0000 0.5000 0.0000  2 In 2.81, 2 Li 2.92, 4 Pb 3.03
Li 0.0000 0.0000 0.0000  2 In 2.81, 2 Li 2.92, 4 Pb 3.03

# 3
KLiInPb2 | GGA-PBE | optimized geometry

Summary:
crystal system = tetragonal
energy relative to the lowest polymorph listed for this composition = 130 meV/atom

abc: 5.3306 5.3306 5.3740
angles: 90.00 90.00 90.00
Last column: nearest neighbours and their distance in Å.
Sites, in units of the cell vectors:
K 0.5000 0.5000 0.5000  4 In 3.77, 8 Pb 3.78
Li 0.0000 0.0000 0.0000  4 Pb 2.67, 2 In 2.69
In 0.0000 0.0000 0.5000  2 Li 2.69
Pb 0.5000 0.0000 0.0000  2 Li 2.67
Pb 0.0000 0.5000 0.0000  2 Li 2.67

no.,VASP energy (hartree per atom)
1,-0.1587
2,-0.1023
3,-0.0975